1.
# Ho2NbZn2Rh5 | Alexandria via LeMat-Bulk | PBE | relaxed
# Energy of formation from the pure elements   -0.631 eV/atom
data_Ho2NbZn2Rh5
_chemical_formula_sum 'Ho4 Nb2 Zn4 Rh10'
_cell_length_a 9.784
_cell_length_b 9.784
_cell_length_c 3.548
_cell_angle_alpha 90.00
_cell_angle_beta 90.00
_cell_angle_gamma 90.00
_space_group_name_H-M_alt 'P 1'
_space_group_IT_number 1
_space_group_name_Hall 'P 1'
loop_
_atom_site_label
_atom_site_type_symbol
_atom_site_fract_x
_atom_site_fract_y
_atom_site_fract_z
Ho1 Ho 0.171 0.329 0.000
Ho2 Ho 0.329 0.829 0.000
Ho3 Ho 0.671 0.171 0.000
Ho4 Ho 0.829 0.671 0.000
Nb1 Nb 0.000 0.000 0.000
Nb2 Nb 0.500 0.500 0.000
Zn1 Zn 0.126 0.626 0.000
Zn2 Zn 0.374 0.126 0.000
Zn3 Zn 0.626 0.874 0.000
Zn4 Zn 0.874 0.374 0.000
Rh1 Rh 0.000 0.500 0.500
Rh2 Rh 0.067 0.801 0.500
Rh3 Rh 0.199 0.067 0.500
Rh4 Rh 0.301 0.567 0.500
Rh5 Rh 0.433 0.301 0.500
Rh6 Rh 0.500 0.000 0.500
Rh7 Rh 0.567 0.699 0.500
Rh8 Rh 0.699 0.433 0.500
Rh9 Rh 0.801 0.933 0.500
Rh10 Rh 0.933 0.199 0.500


2.
# ZrOs | Alexandria via LeMat-Bulk | PBE | relaxed
# Energy of formation from the pure elements   -0.212 eV/atom
data_ZrOs
_chemical_formula_sum 'Zr2 Os2'
_cell_length_a 3.095
_cell_length_b 4.730
_cell_length_c 5.467
_cell_angle_alpha 109.28
_cell_angle_beta 106.02
_cell_angle_gamma 90.01
_space_group_name_H-M_alt 'P 1'
_space_group_IT_number 1
_space_group_name_Hall 'P 1'
loop_
_atom_site_label
_atom_site_type_symbol
_atom_site_fract_x
_atom_site_fract_y
_atom_site_fract_z
Zr1 Zr 0.115 0.376 0.222
Zr2 Zr 0.885 0.624 0.778
Os1 Os 0.355 0.073 0.714
Os2 Os 0.645 0.927 0.286


3.
# PmSm2Dy5Th | Alexandria via LeMat-Bulk | PBE | relaxed
# Energy of formation from the pure elements   0.295 eV/atom
data_PmSm2Dy5Th
_chemical_formula_sum 'Pm2 Sm4 Dy10 Th2'
_cell_length_a 9.851
_cell_length_b 9.851
_cell_length_c 9.851
_cell_angle_alpha 127.33
_cell_angle_beta 127.33
_cell_angle_gamma 77.71
_space_group_name_H-M_alt 'P 1'
_space_group_IT_number 1
_space_group_name_Hall 'P 1'
loop_
_atom_site_label
_atom_site_type_symbol
_atom_site_fract_x
_atom_site_fract_y
_atom_site_fract_z
Pm1 Pm 0.250 0.750 0.500
Pm2 Pm 0.750 0.250 0.500
Sm1 Sm 0.116 0.616 0.732
Sm2 Sm 0.384 0.116 0.500
Sm3 Sm 0.616 0.884 0.500
Sm4 Sm 0.884 0.384 0.268
Dy1 Dy 0.000 0.000 0.000
Dy2 Dy 0.073 0.151 0.500
Dy3 Dy 0.151 0.651 0.078
Dy4 Dy 0.349 0.427 0.500
Dy5 Dy 0.427 0.927 0.078
Dy6 Dy 0.500 0.500 0.000
Dy7 Dy 0.573 0.073 0.922
Dy8 Dy 0.651 0.573 0.500
Dy9 Dy 0.849 0.349 0.922
Dy10 Dy 0.927 0.849 0.500
Th1 Th 0.250 0.250 0.000
Th2 Th 0.750 0.750 0.000


4.
# SrTl2CdF6 | Alexandria via LeMat-Bulk | PBE | relaxed
# Uncorrected formation energy   -2531 meV per atom
data_SrTl2CdF6
_chemical_formula_sum 'Sr2 Tl4 Cd2 F12'
_cell_length_a 6.457
_cell_length_b 6.520
_cell_length_c 11.151
_cell_angle_alpha 90.00
_cell_angle_beta 124.95
_cell_angle_gamma 90.00
_space_group_name_H-M_alt 'P 1'
_space_group_IT_number 1
_space_group_name_Hall 'P 1'
loop_
_atom_site_label
_atom_site_type_symbol
_atom_site_fract_x
_atom_site_fract_y
_atom_site_fract_z
Sr1 Sr 0.000 0.000 0.000
Sr2 Sr 0.000 0.500 0.500
Tl1 Tl 0.262 0.032 0.751
Tl2 Tl 0.262 0.468 0.251
Tl3 Tl 0.738 0.532 0.749
Tl4 Tl 0.738 0.968 0.249
Cd1 Cd 0.500 0.000 0.500
Cd2 Cd 0.500 0.500 0.000
F1 F 0.175 0.025 0.259
F2 F 0.175 0.475 0.759
F3 F 0.268 0.707 0.046
F4 F 0.268 0.793 0.546
F5 F 0.342 0.222 0.046
F6 F 0.342 0.278 0.546
F7 F 0.658 0.722 0.454
F8 F 0.658 0.778 0.954
F9 F 0.732 0.207 0.454
F10 F 0.732 0.293 0.954
F11 F 0.825 0.525 0.241
F12 F 0.825 0.975 0.741


5.
# VIrRu2 | Alexandria via LeMat-Bulk | PBE | relaxed
# Energy of formation from the pure elements   -0.239 eV/atom
# Energy relative to the lowest polymorph listed for this composition   44 meV/atom
data_VIrRu2
_chemical_formula_sum 'V2 Ir2 Ru4'
_cell_length_a 5.404
_cell_length_b 5.404
_cell_length_c 5.404
_cell_angle_alpha 120.20
_cell_angle_beta 89.77
_cell_angle_gamma 120.07
_space_group_name_H-M_alt 'P 1'
_space_group_IT_number 1
_space_group_name_Hall 'P 1'
loop_
_atom_site_label
_atom_site_type_symbol
_atom_site_fract_x
_atom_site_fract_y
_atom_site_fract_z
V1 V 0.000 0.000 0.000
V2 V 0.500 0.000 0.500
Ir1 Ir 0.500 0.000 0.000
Ir2 Ir 0.500 0.500 0.500
Ru1 Ru 0.000 0.000 0.500
Ru2 Ru 0.000 0.500 0.000
Ru3 Ru 0.000 0.500 0.500
Ru4 Ru 0.500 0.500 0.000


For each record above, in turn, the calculated uncorrected energy values are -6.484, -10.101, -4.663, -4.387, -9.372 eV/atom.
For each record above, in turn, the calculated calculated volume values are 170, 36, 293, 192, 56 Å³/f.u..
For each record above, in turn, the calculated spin magnetization values are 0.0, 0.0, 0.0, 0.0, 0.0 μB per formula unit.